1.
AlAsO | Alexandria | PBE | relaxed; final energy = -6.0433 eV/atom; space group = P2_1/m; formation energy (no corrections) = -4.78 eV/f.u.
1.0
3.735 0.000 0.000
0.000 3.686 0.000
-0.168 0.000 6.418
Al As O
2 2 2
Direct
0.245 0.250 0.392
0.755 0.750 0.608
0.225 0.250 0.013
0.775 0.750 0.987
0.250 0.750 0.501
0.750 0.250 0.499

---

2.
La2Dy3ThTe6 | Alexandria | PBE | relaxed; final energy = -5.4977 eV/atom; space group = C2/m; formation energy (no corrections) = -16.04 eV/f.u.
1.0
9.814 -2.193 0.000
9.814 2.193 0.000
-2.505 0.000 8.668
La Dy Th Te
2 3 1 6
Direct
0.162 0.162 0.324
0.838 0.838 0.676
0.167 0.167 0.832
0.500 0.500 0.500
0.833 0.833 0.168
0.500 0.500 0.000
0.006 0.006 0.744
0.331 0.331 0.931
0.335 0.335 0.410
0.665 0.665 0.590
0.669 0.669 0.069
0.994 0.994 0.256